A relaxed TcAs2Au crystal, computed with GGA-PBE.

a b c (Å): 5.840 5.840 6.841
angles (deg): 64.73 64.73 90.00
Fractional coordinates of all 8 atoms:
As 0.875 0.847 0.750
As 0.597 0.125 0.250
As 0.375 0.403 0.750
Tc 0.250 0.750 0.500
Tc 0.500 0.500 0.000
As 0.153 0.625 0.250
Au 0.750 0.250 0.500
Au 0.000 0.000 0.000

V = 186.03 Å³ per cell
Symmetry = I-42d, No. 122
Formation energy = 5.42 kcal/mol of atoms
Excess energy over the best structure of this formula in the dataset = 0.200 eV per atom
Crystal system = tetragonal
Calculated total energy = -44.004 eV for the cell shown